A relaxed structure of CeErNi4, computed with GGA-PBE.

extended XYZ file:
```
6
Lattice="0.000 3.582 3.582 3.582 0.000 3.582 3.582 3.582 0.000" Properties=species:S:1:pos:R:3 pbc="T T T"
Ce 0.000 0.000 0.000
Er 5.373 5.373 5.373
Ni 2.689 2.689 2.689
Ni 4.475 4.475 2.689
Ni 4.475 2.689 4.475
Ni 2.689 4.475 4.475
```

Calculated values
E_tot, eV/atom: -6.021
Formation energy from the elements, eV per atom: -0.418


A relaxed structure of UGa2I6, computed with GGA-PBE.

extended XYZ file:
```
18
Lattice="7.948 0.000 0.000 0.000 8.508 0.000 -7.142 0.000 11.926" Properties=species:S:1:pos:R:3 pbc="T T T"
U 0.000 0.000 0.000
U -3.571 4.254 5.963
Ga -3.164 0.901 9.747
Ga 0.407 3.353 3.784
Ga 0.398 5.154 8.142
Ga 3.969 7.607 2.179
I -1.037 0.512 2.782
I -4.609 3.742 8.745
I 1.390 6.036 0.998
I -2.181 6.725 6.961
I 2.550 1.575 0.569
I -1.021 2.679 6.532
I 1.826 5.829 5.394
I -1.745 6.933 11.357
I 2.987 1.783 4.964
I -0.584 2.471 10.927
I 5.414 4.765 3.181
I 1.843 7.996 9.143
```

Calculated values
ΔE_f (raw), eV/atom: -0.62
E_tot, eV/atom: -3.577


A relaxed structure of Er3Tc5H12, computed with GGA-PBE.

extended XYZ file:
```
80
Lattice="-5.699 5.699 5.699 5.699 -5.699 5.699 5.699 5.699 -5.699" Properties=species:S:1:pos:R:3 pbc="T T T"
Er 2.849 1.425 0.000
Er 5.699 2.849 -1.425
Er 1.425 0.000 2.849
Er 7.123 0.000 2.849
Er 0.000 2.849 1.425
Er 2.849 -1.425 5.699
Er 2.849 7.123 0.000
Er 5.699 2.849 4.274
Er -1.425 5.699 2.849
Er 4.274 5.699 2.849
Er 0.000 2.849 7.123
Er 2.849 4.274 5.699
Tc 0.000 0.000 0.000
Tc 2.849 2.849 -2.849
Tc 2.849 -2.849 2.849
Tc 5.699 0.000 0.000
Tc 8.548 1.425 0.000
Tc 5.699 -2.849 4.274
Tc 4.274 5.699 -2.849
Tc 4.274 0.000 2.849
Tc 2.849 4.274 0.000
Tc 5.699 2.849 1.425
Tc -2.849 2.849 2.849
Tc 0.000 5.699 0.000
Tc 0.000 0.000 5.699
Tc 2.849 2.849 2.849
Tc 0.000 2.849 4.274
Tc 2.849 1.425 5.699
Tc 1.425 5.699 2.849
Tc 1.425 0.000 8.548
Tc 0.000 8.548 1.425
Tc -2.849 4.274 5.699
H 1.642 -0.312 0.712
H 6.906 3.561 -3.161
H 5.387 -0.712 1.642
H 8.860 -1.207 2.138
H 7.341 0.312 0.712
H 6.906 -2.138 3.161
H 0.712 1.642 -0.312
H 7.836 2.537 -1.207
H 3.561 3.161 -1.207
H 4.987 1.642 0.312
H -0.312 0.712 1.642
H 3.161 -1.207 3.561
H 5.387 4.987 -1.642
H 3.161 1.207 2.138
H 4.987 -1.642 5.387
H 3.561 -3.161 6.906
H 2.138 3.161 1.207
H 6.410 4.057 0.312
H 1.642 5.387 -0.712
H 6.906 2.138 2.537
H 3.161 6.906 -2.138
H 5.387 0.712 4.057
H 1.207 2.138 3.161
H 1.642 0.312 4.987
H 4.057 5.387 0.712
H 4.491 3.561 2.537
H 0.312 4.987 1.642
H 2.537 -1.207 7.836
H -1.207 3.561 3.161
H 4.057 0.312 6.410
H -0.712 1.642 5.387
H 3.561 2.537 4.491
H 2.138 8.860 -1.207
H 0.712 7.341 0.312
H 2.537 4.491 3.561
H 0.312 0.712 7.341
H 2.537 6.906 2.138
H 6.010 4.987 4.057
H 0.712 4.057 5.387
H 2.138 2.537 6.906
H -2.138 3.161 6.906
H 4.987 4.057 6.010
H -1.207 7.836 2.537
H -1.642 5.387 4.987
H -3.161 6.906 3.561
H 0.312 6.410 4.057
H -1.207 2.138 8.860
H 4.057 6.010 4.987
```

Calculated values
E_tot, eV/atom: -5.465


A relaxed structure of NaZnCd3, computed with GGA-PBE.

extended XYZ file:
```
5
Lattice="5.749 0.000 0.000 0.000 5.749 0.000 0.000 0.000 5.749" Properties=species:S:1:pos:R:3 pbc="T T T"
Na 0.000 0.000 0.000
Zn 2.875 2.875 2.875
Cd 0.000 0.000 2.875
Cd 0.000 2.875 0.000
Cd 2.875 0.000 0.000
```

Calculated values
ΔE to the lowest computed polymorph, meV/atom: 548.1
E_tot, eV/atom: -0.556
Formation energy from the elements, eV per atom: 0.512


A relaxed structure of Sm9Tm4Zn11, computed with GGA-PBE.

extended XYZ file:
```
24
Lattice="7.696 -10.784 0.000 7.696 10.784 0.000 0.000 0.000 3.488" Properties=species:S:1:pos:R:3 pbc="T T T"
Sm 0.000 0.000 0.000
Sm 5.931 5.612 0.000
Sm 5.873 1.891 0.000
Sm 9.462 5.612 0.000
Sm 5.873 -1.891 0.000
Sm 9.520 1.891 0.000
Sm 5.931 -5.612 0.000
Sm 9.520 -1.891 0.000
Sm 9.462 -5.612 0.000
Tm 2.500 1.942 0.000
Tm 2.500 -1.942 0.000
Tm 12.892 1.942 0.000
Tm 12.892 -1.942 0.000
Zn 4.034 3.873 1.744
Zn 7.696 7.961 1.744
Zn 4.016 0.000 1.744
Zn 7.696 3.682 1.744
Zn 4.034 -3.873 1.744
Zn 7.696 0.000 1.744
Zn 11.359 3.873 1.744
Zn 7.696 -3.682 1.744
Zn 11.376 0.000 1.744
Zn 7.696 -7.961 1.744
Zn 11.359 -3.873 1.744
```

Calculated values
E_tot, eV/atom: -3.333
Formation energy from the elements, eV per atom: -0.234


A relaxed structure of LiTb3Si6Rh2, computed with GGA-PBE.

extended XYZ file:
```
12
Lattice="5.334 0.000 0.000 -2.667 4.619 0.000 0.000 0.000 8.909" Properties=species:S:1:pos:R:3 pbc="T T T"
Li 0.000 0.000 0.000
Tb 0.000 0.000 4.455
Tb 0.000 3.079 0.741
Tb 2.667 1.540 8.168
Si 0.000 1.545 6.913
Si -1.329 3.847 6.913
Si 1.338 0.772 1.997
Si 1.329 3.847 6.913
Si 3.996 0.772 1.997
Si 2.667 3.074 1.997
Rh 0.000 3.079 5.087
Rh 2.667 1.540 3.822
```

Calculated values
ΔE_f (raw), eV/atom: -0.48
E_tot, eV/atom: -5.732


A relaxed structure of LiHfZnIr, computed with GGA-PBE.

extended XYZ file:
```
16
Lattice="6.306 0.000 0.000 0.000 6.306 0.000 0.000 0.000 6.306" Properties=species:S:1:pos:R:3 pbc="T T T"
Li 0.000 0.000 0.000
Li 0.000 3.153 3.153
Li 3.153 0.000 3.153
Li 3.153 3.153 0.000
Hf 1.577 1.577 1.577
Hf 1.577 4.730 4.730
Hf 4.730 1.577 4.730
Hf 4.730 4.730 1.577
Zn 1.577 1.577 4.730
Zn 1.577 4.730 1.577
Zn 4.730 1.577 1.577
Zn 4.730 4.730 4.730
Ir 0.000 0.000 3.153
Ir 0.000 3.153 0.000
Ir 3.153 0.000 0.000
Ir 3.153 3.153 3.153
```

Calculated values
E_tot, eV/atom: -5.973
Formation energy from the elements, eV per atom: -0.473


A relaxed structure of Be2TlFe, computed with GGA-PBE.

extended XYZ file:
```
4
Lattice="3.839 0.000 0.000 0.000 3.839 0.000 0.000 0.000 3.474" Properties=species:S:1:pos:R:3 pbc="T T T"
Be 0.000 1.920 0.000
Be 1.920 0.000 0.000
Tl 0.000 0.000 1.737
Fe 1.920 1.920 1.737
```

Calculated values
ΔE to the lowest computed polymorph, meV/atom: 150.3
E_tot, eV/atom: -4.068
Formation energy from the elements, eV per atom: 0.502


A relaxed structure of SrVSN2, computed with GGA-PBE.

extended XYZ file:
```
5
Lattice="3.928 0.000 0.000 0.000 3.928 0.000 0.000 0.000 4.908" Properties=species:S:1:pos:R:3 pbc="T T T"
Sr 0.000 0.000 0.000
V 1.964 1.964 2.454
S 1.964 1.964 0.000
N 0.000 1.964 2.454
N 1.964 0.000 2.454
```

Calculated values
ΔE_f (raw), eV/atom: -0.58
ΔE to the lowest computed polymorph, meV/atom: 0.0
E_tot, eV/atom: -6.893